The following is a PBE calculation of an optimized crystal structure of MgReRu2, from the Alexandria database.

Cell: 2.9941 2.9941 6.5729 Å, 90.00 90.00 90.00°
Fractional positions:
Mg (0.0000, 0.0000, 0.0000)
Re (0.0000, 0.0000, 0.5000)
Ru (0.5000, 0.5000, 0.2574)
Ru (0.5000, 0.5000, 0.7426)

The formation energy comes out at 1.2 kJ per mole of atoms. The magnetization is 0.00 μB/cell. Its theoretical density is 11.629 g cm⁻³.

The following is a PBE calculation of an optimized crystal structure of Ac8Ir5N, from the Alexandria database.

Cell: 8.0268 8.0268 8.0268 Å, 110.62 110.62 107.20°
Fractional positions:
Ac (0.0264, 0.8944, 0.2596)
Ac (0.1056, 0.3651, 0.1319)
Ac (0.1572, 0.3950, 0.6684)
Ac (0.2332, 0.9736, 0.8681)
Ac (0.5112, 0.8428, 0.2378)
Ac (0.6050, 0.2734, 0.7622)
Ac (0.6349, 0.7668, 0.7405)
Ac (0.7266, 0.4888, 0.3316)
Ir (0.2500, 0.7500, 0.5000)
Ir (0.3838, 0.2616, 0.3765)
Ir (0.7384, 0.1148, 0.1221)
Ir (0.8852, 0.0073, 0.6235)
Ir (0.9927, 0.6162, 0.8779)
N (0.5000, 0.5000, 0.0000)

The magnetization is 0.00 μB/cell. Its theoretical density is 11.655 g cm⁻³. The formation energy from raw total energies comes out at -0.5955 eV per atom.